[1]
Computed, not measured: a geometry-optimized LiTi2Ni structure at the PBE-GGA level of DFT.

Results
**E_tot**: -68.7 eV/cell
**Size of the total moment**: 0.0003 μB/atom
**Calculated formation energy**: 0.6 eV/f.u.

Structure (CIF):
```
data_LiTi2Ni
_chemical_formula_sum 'Li3 Ti6 Ni3'
_cell_length_a 2.7254
_cell_length_b 2.7254
_cell_length_c 29.1837
_cell_angle_alpha 90.00
_cell_angle_beta 90.00
_cell_angle_gamma 120.00
_space_group_name_H-M_alt 'R -3 m'
_space_group_IT_number 166
_space_group_name_Hall '-R 3 2"'
loop_
_atom_site_label
_atom_site_type_symbol
_atom_site_fract_x
_atom_site_fract_y
_atom_site_fract_z
Li1 Li 0.0000 0.0000 0.0000
Ti1 Ti 0.0000 0.0000 0.0945
Ni1 Ni 0.0000 0.0000 0.5000
```



[2]
Computed, not measured: a geometry-optimized ZrHg2MoPd structure at the PBE-GGA level of DFT.

Results
**E_tot**: -20.4 eV/cell
**Size of the total moment**: 0.0000 μB/atom
**Calculated formation energy**: 4.8 eV/f.u.

Structure (CIF):
```
data_ZrHg2MoPd
_chemical_formula_sum 'Zr1 Hg2 Mo1 Pd1'
_cell_length_a 5.250
_cell_length_b 5.250
_cell_length_c 4.823
_cell_angle_alpha 90.00
_cell_angle_beta 90.00
_cell_angle_gamma 90.00
_space_group_name_H-M_alt 'P 4/m m m'
_space_group_IT_number 123
_space_group_name_Hall '-P 4 2'
loop_
_atom_site_label
_atom_site_type_symbol
_atom_site_fract_x
_atom_site_fract_y
_atom_site_fract_z
Zr1 Zr 0.000 0.000 0.000
Hg1 Hg 0.000 0.500 0.500
Mo1 Mo 0.000 0.000 0.500
Pd1 Pd 0.500 0.500 0.000
```



[3]
Computed, not measured: a geometry-optimized SmZrAu2 structure at the PBE-GGA level of DFT.

Results
**E_tot**: -66.2 eV/cell
**Size of the total moment**: 0.0000 μB/atom
**Calculated formation energy**: -2.2 eV/f.u.

Structure (CIF):
```
data_SmZrAu2
_chemical_formula_sum 'Sm3 Zr3 Au6'
_cell_length_a 4.7877
_cell_length_b 4.7877
_cell_length_c 14.1563
_cell_angle_alpha 90.00
_cell_angle_beta 90.00
_cell_angle_gamma 120.00
_space_group_name_H-M_alt 'R -3 m'
_space_group_IT_number 166
_space_group_name_Hall '-R 3 2"'
loop_
_atom_site_label
_atom_site_type_symbol
_atom_site_fract_x
_atom_site_fract_y
_atom_site_fract_z
Sm1 Sm 0.0000 0.0000 0.0000
Zr1 Zr 0.0000 0.0000 0.5000
Au1 Au 0.0000 0.0000 0.2211
```



[4]
Computed, not measured: a geometry-optimized Co4Ni3W structure at the PBE-GGA level of DFT.

Results
**E_tot**: -116.4 eV/cell
**Size of the total moment**: 0.8957 μB/atom
**Calculated formation energy**: 0.5 eV/f.u.

Structure (CIF):
```
data_Co4Ni3W
_chemical_formula_sum 'Co8 Ni6 W2'
_cell_length_a 16.950
_cell_length_b 2.555
_cell_length_c 4.424
_cell_angle_alpha 90.00
_cell_angle_beta 104.14
_cell_angle_gamma 90.00
_space_group_name_H-M_alt 'C 1 2/m 1'
_space_group_IT_number 12
loop_
_space_group_symop_operation_xyz
'x,y,z'
'-x,-y,-z'
'-x,y,-z'
'x,-y,z'
'x+1/2,y+1/2,z'
'-x+1/2,-y+1/2,-z'
'-x+1/2,y+1/2,-z'
'x+1/2,-y+1/2,z'
loop_
_atom_site_label
_atom_site_type_symbol
_atom_site_fract_x
_atom_site_fract_y
_atom_site_fract_z
Co1 Co 0.129 0.000 0.296
Co2 Co 0.250 0.000 0.743
Ni1 Ni 0.000 0.500 0.000
Ni2 Ni 0.128 0.500 0.805
W1 W 0.000 0.000 0.500
```



[5]
Computed, not measured: a geometry-optimized LiZr3Pt structure at the PBE-GGA level of DFT.

Results
**E_tot**: -32.1 eV/cell
**Size of the total moment**: 0.0001 μB/atom
**Calculated formation energy**: 1.5 eV/f.u.

Structure (CIF):
```
data_LiZr3Pt
_chemical_formula_sum 'Li1 Zr3 Pt1'
_cell_length_a 5.161
_cell_length_b 5.161
_cell_length_c 5.161
_cell_angle_alpha 90.00
_cell_angle_beta 90.00
_cell_angle_gamma 90.00
_space_group_name_H-M_alt 'P m -3 m'
_space_group_IT_number 221
_space_group_name_Hall '-P 4 2 3'
loop_
_atom_site_label
_atom_site_type_symbol
_atom_site_fract_x
_atom_site_fract_y
_atom_site_fract_z
Li1 Li 0.000 0.000 0.000
Zr1 Zr 0.000 0.500 0.500
Pt1 Pt 0.500 0.500 0.500
```



[6]
Computed, not measured: a geometry-optimized Y2ScH8 structure at the PBE-GGA level of DFT.

Results
**E_tot**: -105.0 eV/cell
**Size of the total moment**: 0.0000 μB/atom

Structure (CIF):
```
data_Y2ScH8
_chemical_formula_sum 'Y4 Sc2 H16'
_cell_length_a 3.601
_cell_length_b 4.931
_cell_length_c 10.734
_cell_angle_alpha 90.00
_cell_angle_beta 90.00
_cell_angle_gamma 90.00
_space_group_name_H-M_alt 'I m m m'
_space_group_IT_number 71
_space_group_name_Hall '-I 2 2'
loop_
_atom_site_label
_atom_site_type_symbol
_atom_site_fract_x
_atom_site_fract_y
_atom_site_fract_z
Y1 Y 0.000 0.000 0.168
Sc1 Sc 0.000 0.000 0.500
H1 H 0.000 0.253 0.350
H2 H 0.000 0.255 0.000
H3 H 0.000 0.500 0.175
```



[7]
Computed, not measured: a geometry-optimized LiBeP2 structure at the PBE-GGA level of DFT.

Results
**E_tot**: -60.3 eV/cell
**Size of the total moment**: 0.0000 μB/atom
**Calculated formation energy**: 1.4 eV/f.u.

Structure (CIF):
```
data_LiBeP2
_chemical_formula_sum 'Li4 Be4 P8'
_cell_length_a 5.864
_cell_length_b 5.864
_cell_length_c 5.864
_cell_angle_alpha 90.00
_cell_angle_beta 90.00
_cell_angle_gamma 90.00
_space_group_name_H-M_alt 'F -4 3 m'
_space_group_IT_number 216
_space_group_name_Hall 'F -4 2 3'
loop_
_atom_site_label
_atom_site_type_symbol
_atom_site_fract_x
_atom_site_fract_y
_atom_site_fract_z
Li1 Li 0.000 0.000 0.000
Be1 Be 0.250 0.250 0.750
P1 P 0.000 0.000 0.500
P2 P 0.250 0.250 0.250
```



[8]
Computed, not measured: a geometry-optimized Cu6As structure at the PBE-GGA level of DFT.

Results
**E_tot**: -86.5 eV/cell
**Size of the total moment**: 0.0000 μB/atom
**Calculated formation energy**: 0.4 eV/f.u.

Structure (CIF):
```
data_Cu6As
_chemical_formula_sum 'Cu18 As3'
_cell_length_a 4.1432
_cell_length_b 4.1432
_cell_length_c 17.9882
_cell_angle_alpha 90.00
_cell_angle_beta 90.00
_cell_angle_gamma 120.00
_space_group_name_H-M_alt 'R -3 m'
_space_group_IT_number 166
_space_group_name_Hall '-R 3 2"'
loop_
_atom_site_label
_atom_site_type_symbol
_atom_site_fract_x
_atom_site_fract_y
_atom_site_fract_z
Cu1 Cu 0.0000 0.0000 0.0669
Cu2 Cu 0.0000 0.0000 0.2153
Cu3 Cu 0.0000 0.0000 0.3553
As1 As 0.0000 0.0000 0.5000
```